Record 1
Material: BaNb3Pt
Method: DFT, GGA-PBE
State: relaxed

As for the total energy: -0.2472 Ha/atom. The energy relative to the elements comes out at 87.57 kJ per mole of atoms. The energy above the most stable polymorph in this dataset comes out at 0 meV/atom. For the density of states at the Fermi level, the calculation gives 1.4163 states/eV/atom.

The space group is Pm-3m (No. 221) and the conventional cell measures 5.083, 5.083 and 5.083 Å, with angles of 90.00, 90.00 and 90.00 degrees. The distinct sites, in fractional coordinates, are Ba at (0.000, 0.000, 0.000), Nb at (0.000, 0.500, 0.500) and Pt at (0.500, 0.500, 0.500).

Record 2
Material: NaNi2Bi
Method: DFT, GGA-PBE
State: relaxed

As for the total energy: -0.1355 Ha/atom. The energy relative to the elements comes out at 48.47 kJ per mole of atoms. For the density of states at the Fermi level, the calculation gives 0.4523 states/eV/atom.

The space group is I-42d (No. 122) and the conventional cell measures 7.357, 7.357 and 5.802 Å, with angles of 90.00, 90.00 and 90.00 degrees. The distinct sites, in fractional coordinates, are Na at (0.000, 0.000, 0.000), Ni at (0.224, 0.250, 0.625) and Bi at (0.000, 0.000, 0.500).

Record 3
Material: Ba2Tl3CdPd12
Method: DFT, GGA-PBE
State: relaxed

As for the total energy: -0.1581 Ha/atom. The energy relative to the elements comes out at -17.51 kJ per mole of atoms. For the density of states at the Fermi level, the calculation gives 0.4373 states/eV/atom.

The space group is R-3m (No. 166, hexagonal axes) and the conventional cell measures 9.6391, 9.6391 and 13.7792 Å, with angles of 90.00, 90.00 and 120.00 degrees. The distinct sites, in fractional coordinates, are Ba at (0.0000, 0.0000, 0.1541), Tl at (0.0000, 0.5000, 0.0000), Cd at (0.0000, 0.0000, 0.5000), Pd at (0.0015, 0.5007, 0.6038) and Pd at (0.0171, 0.5086, 0.2021).

Record 4
Material: Rb3Tl6Au5
Method: DFT, GGA-PBE
State: relaxed

As for the total energy: -0.0934 Ha/atom. The energy relative to the elements comes out at -14.38 kJ per mole of atoms. For the density of states at the Fermi level, the calculation gives 0.3464 states/eV/atom.

The space group is Pmmn (No. 59, origin choice 2) and the conventional cell measures 4.714, 15.208 and 12.473 Å, with angles of 90.00, 90.00 and 90.00 degrees. The distinct sites, in fractional coordinates, are Rb at (0.250, 0.099, 0.241), Rb at (0.250, 0.750, 0.273), Tl at (0.250, 0.054, 0.599), Tl at (0.250, 0.250, 0.469), Tl at (0.250, 0.250, 0.960), Tl at (0.250, 0.578, 0.016), Au at (0.250, 0.077, 0.836), Au at (0.250, 0.632, 0.519) and Au at (0.250, 0.750, 0.901).

Record 5
Material: Pm2TeSe
Method: DFT, GGA-PBE
State: relaxed

As for the total energy: -0.2083 Ha/atom. The energy above the most stable polymorph in this dataset comes out at 16 meV/atom. For the density of states at the Fermi level, the calculation gives 0.3631 states/eV/atom.

The space group is R-3m (No. 166, hexagonal axes) and the conventional cell measures 4.3228, 4.3228 and 21.3934 Å, with angles of 90.00, 90.00 and 120.00 degrees. The distinct sites, in fractional coordinates, are Pm at (0.0000, 0.0000, 0.2388), Te at (0.0000, 0.0000, 0.0000) and Se at (0.0000, 0.0000, 0.5000).

Record 6
Material: CePuPaBi
Method: DFT, GGA-PBE
State: relaxed

As for the total energy: -0.3083 Ha/atom. The energy relative to the elements comes out at 2.08 kJ per mole of atoms. For the density of states at the Fermi level, the calculation gives 2.2057 states/eV/atom.

The space group is F-43m (No. 216) and the conventional cell measures 7.558, 7.558 and 7.558 Å, with angles of 90.00, 90.00 and 90.00 degrees. The distinct sites, in fractional coordinates, are Ce at (0.000, 0.000, 0.000), Pu at (0.000, 0.000, 0.500), Pa at (0.250, 0.250, 0.750) and Bi at (0.250, 0.250, 0.250).

Record 7
Material: BaIn2Te
Method: DFT, GGA-PBE
State: relaxed

As for the total energy: -0.1141 Ha/atom. For the density of states at the Fermi level, the calculation gives 0.9017 states/eV/atom.

The space group is F-43m (No. 216) and the conventional cell measures 8.127, 8.127 and 8.127 Å, with angles of 90.00, 90.00 and 90.00 degrees. The distinct sites, in fractional coordinates, are Ba at (0.000, 0.000, 0.000), In at (0.000, 0.000, 0.500), In at (0.250, 0.250, 0.250) and Te at (0.250, 0.250, 0.750).

Record 8
Material: Mn2PtRhC
Method: DFT, GGA-PBE
State: relaxed

As for the total energy: -0.3021 Ha/atom. The energy relative to the elements comes out at -2.74 kJ per mole of atoms. For the density of states at the Fermi level, the calculation gives 0.7966 states/eV/atom.

The space group is P4/mmm (No. 123) and the conventional cell measures 3.980, 3.980 and 4.012 Å, with angles of 90.00, 90.00 and 90.00 degrees. The distinct sites, in fractional coordinates, are Mn at (0.000, 0.500, 0.000), Pt at (0.000, 0.000, 0.500), Rh at (0.500, 0.500, 0.500) and C at (0.500, 0.500, 0.000).

Record 9
Material: CsNaGa2
Method: DFT, GGA-PBE
State: relaxed

As for the total energy: -0.0763 Ha/atom. The energy relative to the elements comes out at -1.92 kJ per mole of atoms. The energy above the most stable polymorph in this dataset comes out at 0 meV/atom. For the density of states at the Fermi level, the calculation gives 0.4007 states/eV/atom.

The space group is Pnma (No. 62) and the conventional cell measures 7.896, 7.960 and 9.571 Å, with angles of 90.00, 90.00 and 90.00 degrees. The distinct sites, in fractional coordinates, are Cs at (0.046, 0.250, 0.145), Na at (0.185, 0.750, 0.297) and Ga at (0.119, 0.092, 0.529).

Record 10
Material: MgSb2P
Method: DFT, GGA-PBE
State: relaxed

As for the total energy: -0.1329 Ha/atom. The energy above the most stable polymorph in this dataset comes out at 251 meV/atom. For the density of states at the Fermi level, the calculation gives 0.4580 states/eV/atom.

The space group is Pmmm (No. 47) and the conventional cell measures 3.679, 4.753 and 5.212 Å, with angles of 90.00, 90.00 and 90.00 degrees. The distinct sites, in fractional coordinates, are Mg at (0.000, 0.000, 0.000), Sb at (0.000, 0.500, 0.500), Sb at (0.500, 0.500, 0.000) and P at (0.500, 0.000, 0.500).

Record 11
Material: NaSrSb
Method: DFT, GGA-PBE
State: relaxed

As for the total energy: -0.1085 Ha/atom. For the density of states at the Fermi level, the calculation gives 0.1387 states/eV/atom.

The space group is I4mm (No. 107) and the conventional cell measures 4.550, 4.550 and 9.544 Å, with angles of 90.00, 90.00 and 90.00 degrees. The distinct sites, in fractional coordinates, are Na at (0.000, 0.000, 0.000), Sr at (0.000, 0.000, 0.318) and Sb at (0.000, 0.000, 0.674).

Record 12
Material: Mo2H2Au
Method: DFT, GGA-PBE
State: relaxed

As for the total energy: -0.2272 Ha/atom. For the density of states at the Fermi level, the calculation gives 0.3903 states/eV/atom.

The space group is I4/mmm (No. 139) and the conventional cell measures 3.512, 3.512 and 8.833 Å, with angles of 90.00, 90.00 and 90.00 degrees. The distinct sites, in fractional coordinates, are Mo at (0.000, 0.000, 0.162), H at (0.000, 0.500, 0.250) and Au at (0.000, 0.000, 0.500).

Record 13
Material: Pt2Au
Method: DFT, GGA-PBE
State: relaxed

As for the total energy: -0.1772 Ha/atom. The energy relative to the elements comes out at 28.77 kJ per mole of atoms. The energy above the most stable polymorph in this dataset comes out at 258 meV/atom. For the density of states at the Fermi level, the calculation gives 1.1642 states/eV/atom.

The space group is P4/mmm (No. 123) and the conventional cell measures 3.784, 3.784 and 4.026 Å, with angles of 90.00, 90.00 and 90.00 degrees. The distinct sites, in fractional coordinates, are Pt at (0.000, 0.500, 0.000) and Au at (0.000, 0.000, 0.500).

Record 14
Material: Li2ZnSnIr
Method: DFT, GGA-PBE
State: relaxed

As for the total energy: -0.1099 Ha/atom. The energy relative to the elements comes out at 58.11 kJ per mole of atoms. For the density of states at the Fermi level, the calculation gives 0.5394 states/eV/atom.

The space group is P4/mmm (No. 123) and the conventional cell measures 4.856, 4.856 and 4.940 Å, with angles of 90.00, 90.00 and 90.00 degrees. The distinct sites, in fractional coordinates, are Li at (0.000, 0.500, 0.000), Zn at (0.000, 0.000, 0.500), Sn at (0.500, 0.500, 0.000) and Ir at (0.500, 0.500, 0.500).

Record 15
Material: Tl12P5Se3
Method: DFT, GGA-PBE
State: relaxed

As for the total energy: -0.1161 Ha/atom. For the density of states at the Fermi level, the calculation gives 0.5182 states/eV/atom.

The space group is Ia-3d (No. 230) and the conventional cell measures 17.275, 17.275 and 17.275 Å, with angles of 90.00, 90.00 and 90.00 degrees. The distinct sites, in fractional coordinates, are Tl at (0.018, 0.062, 0.653), P at (0.000, 0.000, 0.000), P at (0.000, 0.250, 0.375) and Se at (0.000, 0.250, 0.125).

Record 16
Material: SrBeCrRh2
Method: DFT, GGA-PBE
State: relaxed

As for the total energy: -0.2148 Ha/atom. The energy relative to the elements comes out at 9.86 kJ per mole of atoms. For the density of states at the Fermi level, the calculation gives 0.7190 states/eV/atom.

The space group is P4/mmm (No. 123) and the conventional cell measures 4.405, 4.405 and 4.443 Å, with angles of 90.00, 90.00 and 90.00 degrees. The distinct sites, in fractional coordinates, are Sr at (0.000, 0.000, 0.000), Be at (0.500, 0.500, 0.500), Cr at (0.500, 0.500, 0.000) and Rh at (0.000, 0.500, 0.500).

Record 17
Material: HoCd5Ag6
Method: DFT, GGA-PBE
State: relaxed

As for the total energy: -0.0840 Ha/atom. The energy relative to the elements comes out at -9.43 kJ per mole of atoms. The energy above the most stable polymorph in this dataset comes out at 0 meV/atom. For the density of states at the Fermi level, the calculation gives 0.3777 states/eV/atom.

The space group is C2/m (No. 12) and the conventional cell measures 4.492, 13.593 and 7.908 Å, with angles of 90.00, 90.05 and 90.00 degrees. The distinct sites, in fractional coordinates, are Ho at (0.000, 0.000, 0.000), Cd at (0.000, 0.000, 0.500), Cd at (0.000, 0.329, 0.000), Cd at (0.000, 0.334, 0.500), Ag at (0.001, 0.167, 0.744) and Ag at (0.001, 0.500, 0.744).

Record 18
Material: Cs4LaNd3Te8
Method: DFT, GGA-PBE
State: relaxed

As for the total energy: -0.1625 Ha/atom.

The space group is R-3m (No. 166, hexagonal axes) and the conventional cell measures 9.4022, 9.4022 and 26.8258 Å, with angles of 90.00, 90.00 and 120.00 degrees. The distinct sites, in fractional coordinates, are Cs at (0.0000, 0.0000, 0.0000), Cs at (0.0000, 0.5000, 0.0000), La at (0.0000, 0.0000, 0.5000), Nd at (0.0000, 0.5000, 0.5000), Te at (0.0000, 0.0000, 0.2316) and Te at (0.0033, 0.5017, 0.7682).

Record 19
Material: Ag5TeS3
Method: DFT, GGA-PBE
State: relaxed

As for the total energy: -0.1182 Ha/atom. For the density of states at the Fermi level, the calculation gives 0.1898 states/eV/atom.

The space group is C2/m (No. 12) and the conventional cell measures 12.729, 7.685 and 9.353 Å, with angles of 90.00, 117.32 and 90.00 degrees. The distinct sites, in fractional coordinates, are Ag at (0.000, 0.177, 0.000), Ag at (0.138, 0.000, 0.336), Ag at (0.174, 0.272, 0.666), Ag at (0.224, 0.500, 0.090), Te at (0.152, 0.500, 0.349), S at (0.000, 0.500, 0.000), S at (0.000, 0.500, 0.500), S at (0.042, 0.000, 0.629) and S at (0.200, 0.000, 0.108).

Record 20
Material: ScBeRh
Method: DFT, GGA-PBE
State: relaxed

As for the total energy: -0.2031 Ha/atom. The energy relative to the elements comes out at 26.54 kJ per mole of atoms. The energy above the most stable polymorph in this dataset comes out at 932 meV/atom. For the density of states at the Fermi level, the calculation gives 0.3977 states/eV/atom.

The space group is F-43m (No. 216) and the conventional cell measures 5.981, 5.981 and 5.981 Å, with angles of 90.00, 90.00 and 90.00 degrees. The distinct sites, in fractional coordinates, are Sc at (0.000, 0.000, 0.000), Be at (0.250, 0.250, 0.250) and Rh at (0.250, 0.250, 0.750).